VASP calculation (GGA-PBE) on a relaxed structure of PuInTc4.

Properties
- space-group type = F-43m, No. 216
- density of states at the Fermi level (states/eV per atom) = 1.9489
- E_tot (eV/cell) = -57.785
- ΔE_f (eV per atom) = 0.12

a b c (Å): 5.3244 5.3244 5.3244
angles (deg): 60.00 60.00 60.00
With the nearest neighbours (Å) after each atom.
Element x y z (fractional)
Pu: 0.0000 0.0000 0.0000  12 Tc 3.12, 4 In 3.26
In: 0.7500 0.7500 0.7500  12 Tc 3.12, 4 Pu 3.26
Tc: 0.3759 0.3759 0.3759  6 Tc 2.64-2.68
Tc: 0.3759 0.3759 0.8723  6 Tc 2.64-2.68
Tc: 0.3759 0.8723 0.3759  6 Tc 2.64-2.68
Tc: 0.8723 0.3759 0.3759  6 Tc 2.64-2.68


VASP calculation (GGA-PBE) on a relaxed structure of SrSbTe2Pb.

Properties
- space-group type = P4/mmm, No. 123
- density of states at the Fermi level (states/eV per atom) = 1.3384
- E above lowest polymorph (meV/atom) = 0
- E_tot (eV/cell) = -16.168

a b c (Å): 5.9187 5.9187 5.7578
angles (deg): 90.00 90.00 90.00
With the nearest neighbours (Å) after each atom.
Element x y z (fractional)
Sr: 0.0000 0.0000 0.0000  8 Te 4.13, 4 Sb 4.19
Sb: 0.5000 0.5000 0.0000  2 Pb 2.88
Te: 0.0000 0.5000 0.5000  2 Pb 2.96
Te: 0.5000 0.0000 0.5000  2 Pb 2.96
Pb: 0.5000 0.5000 0.5000  2 Sb 2.88, 4 Te 2.96


VASP calculation (GGA-PBE) on a relaxed structure of MnNb2Os.

Properties
- space-group type = Immm, No. 71
- density of states at the Fermi level (states/eV per atom) = 1.2342
- E_tot (eV/cell) = -37.795
- ΔE_f (eV per atom) = 0.69

a b c (Å): 6.9560 6.9560 6.9560
angles (deg): 157.14 144.11 42.98
With the nearest neighbours (Å) after each atom.
Element x y z (fractional)
Mn: 0.0000 0.0000 0.0000  4 Os 2.55, 2 Mn 2.76
Nb: 0.3096 0.3096 0.0000  1 Os 2.47, 2 Nb 2.76
Nb: 0.6904 0.6904 0.0000  1 Os 2.47, 2 Nb 2.76
Os: 0.5000 0.5000 0.0000  2 Nb 2.47, 4 Mn 2.55, 2 Os 2.76


VASP calculation (GGA-PBE) on a relaxed structure of Be9TcPd2.

Properties
- space-group type = P6_3/mmc, No. 194
- density of states at the Fermi level (states/eV per atom) = 0.4148
- E_tot (eV/cell) = -115.983
- ΔE_f (eV per atom) = -0.31

a b c (Å): 4.3265 4.3265 13.9195
angles (deg): 90.00 90.00 120.00
With the nearest neighbours (Å) after each atom.
Element x y z (fractional)
Be: 0.0000 0.0000 0.0000  6 Be 2.17
Be: 0.0000 0.0000 0.2500  6 Be 2.12
Be: 0.0000 0.0000 0.5000  6 Be 2.17
Be: 0.0000 0.0000 0.7500  6 Be 2.12
Be: 0.1676 0.3351 0.1271  7 Be 2.11-2.17
Be: 0.1676 0.3351 0.3729  7 Be 2.11-2.17
Be: 0.1676 0.8324 0.1271  7 Be 2.11-2.17
Be: 0.1676 0.8324 0.3729  7 Be 2.11-2.17
Be: 0.3333 0.6667 0.2500  6 Be 2.11
Be: 0.3351 0.1676 0.6271  7 Be 2.11-2.17
Be: 0.3351 0.1676 0.8729  7 Be 2.11-2.17
Be: 0.6649 0.8324 0.1271  7 Be 2.11-2.17
Be: 0.6649 0.8324 0.3729  7 Be 2.11-2.17
Be: 0.6667 0.3333 0.7500  6 Be 2.11
Be: 0.8324 0.1676 0.6271  7 Be 2.11-2.17
Be: 0.8324 0.1676 0.8729  7 Be 2.11-2.17
Be: 0.8324 0.6649 0.6271  7 Be 2.11-2.17
Be: 0.8324 0.6649 0.8729  7 Be 2.11-2.17
Tc: 0.3333 0.6667 0.7500  18 Be 2.50-2.76
Tc: 0.6667 0.3333 0.2500  18 Be 2.50-2.76
Pd: 0.3333 0.6667 0.5410  12 Be 2.47-2.65, 3 Pd 2.75
Pd: 0.3333 0.6667 0.9590  12 Be 2.47-2.65, 3 Pd 2.75
Pd: 0.6667 0.3333 0.0410  12 Be 2.47-2.65, 3 Pd 2.75
Pd: 0.6667 0.3333 0.4590  12 Be 2.47-2.65, 3 Pd 2.75


VASP calculation (GGA-PBE) on a relaxed structure of TmClO.

Properties
- space-group type = P4/nmm, No. 129
- density of states at the Fermi level (states/eV per atom) = 0.0000
- E_tot (eV/cell) = -41.068

a b c (Å): 3.7373 3.7373 8.1434
angles (deg): 90.00 90.00 90.00
With the nearest neighbours (Å) after each atom.
Element x y z (fractional)
Tm: 0.2500 0.2500 0.1394  4 O 2.19
Tm: 0.7500 0.7500 0.8606  4 O 2.19
Cl: 0.2500 0.2500 0.6778  4 Tm 3.03, 4 O 3.22
Cl: 0.7500 0.7500 0.3222  4 Tm 3.03, 4 O 3.22
O: 0.2500 0.7500 0.0000  4 Tm 2.19
O: 0.7500 0.2500 0.0000  4 Tm 2.19


VASP calculation (GGA-PBE) on a relaxed structure of TiTlCd2.

Properties
- space-group type = P4/mmm, No. 123
- density of states at the Fermi level (states/eV per atom) = 0.7392
- E above lowest polymorph (meV/atom) = 24
- E_tot (eV/cell) = -11.705
- ΔE_f (eV per atom) = 0.10

a b c (Å): 3.1068 3.1068 9.4393
angles (deg): 90.00 90.00 90.00
With the nearest neighbours (Å) after each atom.
Element x y z (fractional)
Ti: 0.0000 0.0000 0.0000  8 Cd 2.99, 4 Ti 3.11
Tl: 0.0000 0.0000 0.5000  4 Tl 3.11, 8 Cd 3.47
Cd: 0.5000 0.5000 0.2156  4 Ti 2.99, 4 Cd 3.11
Cd: 0.5000 0.5000 0.7844  4 Ti 2.99, 4 Cd 3.11